Material: Li4Al2IrPd
Method: DFT, PBE-GGA
State: relaxed

Cell and atoms, written as CIF:
```
data_Li4Al2IrPd
_symmetry_space_group_name_H-M 'P -4 m 2'
_symmetry_Int_Tables_number 115
_cell_length_a 4.2503
_cell_length_b 4.2503
_cell_length_c 6.0215
_cell_angle_alpha 90.00
_cell_angle_beta 90.00
_cell_angle_gamma 90.00
loop_
_symmetry_equiv_pos_as_xyz
'x,y,z'
'y,-x,-z'
'-x,-y,z'
'-y,x,-z'
'-x,y,z'
'-y,-x,-z'
'x,-y,z'
'y,x,-z'
loop_
_atom_site_label
_atom_site_fract_x
_atom_site_fract_y
_atom_site_fract_z
Li1 0.0000 0.0000 0.0000
Li2 0.0000 0.5000 0.7502
Li3 0.5000 0.5000 0.5000
Al1 0.0000 0.5000 0.2346
Ir1 0.5000 0.5000 0.0000
Pd1 0.0000 0.0000 0.5000
```

***

Material: ZnGaIr2
Method: DFT, PBE-GGA
State: relaxed

energy above the lowest structure with this stoichiometry = 290.3 meV/atom

Cell and atoms, written as CIF:
```
data_ZnGaIr2
_symmetry_space_group_name_H-M 'P 63/m m c'
_symmetry_Int_Tables_number 194
_symmetry_space_group_name_Hall '-P 6c 2c'
_cell_length_a 4.3292
_cell_length_b 4.3292
_cell_length_c 7.7521
_cell_angle_alpha 90.00
_cell_angle_beta 90.00
_cell_angle_gamma 120.00
loop_
_atom_site_label
_atom_site_fract_x
_atom_site_fract_y
_atom_site_fract_z
Zn1 0.0000 0.0000 0.0000
Ga1 0.3333 0.6667 0.2500
Ir1 0.3333 0.6667 0.5824
```

***

Material: Y2LuFe
Method: DFT, PBE-GGA
State: relaxed

DFT formation energy = 398 meV per atom

Cell and atoms, written as CIF:
```
data_Y2LuFe
_symmetry_space_group_name_H-M 'F -4 3 m'
_symmetry_Int_Tables_number 216
_symmetry_space_group_name_Hall 'F -4 2 3'
_cell_length_a 7.2104
_cell_length_b 7.2104
_cell_length_c 7.2104
_cell_angle_alpha 90.00
_cell_angle_beta 90.00
_cell_angle_gamma 90.00
loop_
_atom_site_label
_atom_site_fract_x
_atom_site_fract_y
_atom_site_fract_z
Y1 0.0000 0.0000 0.0000
Y2 0.2500 0.2500 0.2500
Lu1 0.0000 0.0000 0.5000
Fe1 0.2500 0.2500 0.7500
```

***

Material: SnGe2Mo2
Method: DFT, PBE-GGA
State: relaxed

Cell and atoms, written as CIF:
```
data_SnGe2Mo2
_symmetry_space_group_name_H-M 'I 4/m m m'
_symmetry_Int_Tables_number 139
_symmetry_space_group_name_Hall '-I 4 2'
_cell_length_a 4.2356
_cell_length_b 4.2356
_cell_length_c 10.6822
_cell_angle_alpha 90.00
_cell_angle_beta 90.00
_cell_angle_gamma 90.00
loop_
_atom_site_label
_atom_site_fract_x
_atom_site_fract_y
_atom_site_fract_z
Sn1 0.0000 0.0000 0.0000
Ge1 0.0000 0.0000 0.3854
Mo1 0.0000 0.5000 0.2500
```

***

Number 1: DFT total energy -4.162 eV per atom. Number 2: DFT total energy -5.553 eV per atom. Number 3: DFT total energy -6.042 eV per atom. Number 4: DFT total energy -6.596 eV per atom.